5
Lattice="-2.492 -3.058 -2.214 2.337 0.834 -3.782 2.965 -3.227 1.120" Properties=species:S:1:pos:R:3 comment="GGA-PBE Ta3MnCo, optimized geometry" delta_e_f_ev_per_atom=1.096 vol_a3_per_atom=18.51 magnetic_moment_mub_per_cell=0.0 de_polymorph_ev_per_fu=0.00 pbc="T T T"
Ta 1.168 0.417 -1.891
Ta 1.483 -1.614 0.560
Co 1.405 -2.725 -2.438
Mn 0.000 0.000 0.000
Ta -1.246 -1.529 -1.107

10
Lattice="6.866 0.000 0.000 0.000 6.866 0.000 0.000 0.000 2.566" Properties=species:S:1:pos:R:3 comment="GGA-PBE TaMn2Co2, optimized geometry" delta_e_f_ev_per_atom=0.099 vol_a3_per_atom=12.10 magnetic_moment_mub_per_cell=0.0 de_polymorph_ev_per_fu=0.05 pbc="T T T"
Co 2.225 1.208 1.283
Co 5.658 2.225 1.283
Mn 0.807 2.626 0.000
Ta 0.000 0.000 0.000
Co 1.208 4.641 1.283
Co 4.641 5.658 1.283
Mn 6.059 4.240 0.000
Mn 2.626 6.059 0.000
Mn 4.240 0.807 0.000
Ta 3.433 3.433 0.000

4
Lattice="-1.315 -1.858 3.291 2.455 0.111 1.043 0.044 4.383 2.493" Properties=species:S:1:pos:R:3 comment="GGA-PBE TaMn2Co, optimized geometry" delta_e_f_ev_per_atom=0.102 vol_a3_per_atom=13.08 magnetic_moment_mub_per_cell=4.4 de_polymorph_ev_per_fu=0.66 pbc="T T T"
Mn -0.037 0.069 2.457
Co 1.247 2.515 4.351
Mn 2.440 0.141 1.054
Ta 1.240 2.268 1.776

12
Lattice="-4.024 -1.329 -0.954 4.719 -4.475 -3.772 0.436 0.403 7.495" Properties=species:S:1:pos:R:3 comment="GGA-PBE Ta6MnCo5, optimized geometry" delta_e_f_ev_per_atom=-0.124 vol_a3_per_atom=14.53 magnetic_moment_mub_per_cell=8.4 pbc="T T T"
Co -0.738 -4.173 -0.958
Ta -0.428 -0.533 2.549
Ta 0.143 -3.257 3.945
Ta -1.733 -1.997 0.206
Ta 1.559 -4.869 0.220
Co 1.982 -4.314 -2.341
Mn 0.000 0.000 0.000
Ta 2.864 -3.405 2.563
Ta 0.988 -2.145 -1.176
Co 1.869 -1.229 3.726
Co 0.566 -2.701 1.384
Co -0.851 -1.088 5.110

4
Lattice="-0.397 -1.194 3.917 1.942 -1.791 -0.349 3.824 2.745 1.224" Properties=species:S:1:pos:R:3 comment="GGA-PBE TaMn2Co, optimized geometry" delta_e_f_ev_per_atom=0.092 vol_a3_per_atom=13.16 magnetic_moment_mub_per_cell=4.9 de_polymorph_ev_per_fu=0.63 pbc="T T T"
Mn 5.672 0.930 0.858
Ta 1.243 -0.359 2.177
Mn 2.978 0.501 0.454
Co 4.127 0.118 2.615

4
Lattice="4.611 0.023 0.000 1.626 4.315 0.000 -3.118 -2.169 2.614" Properties=species:S:1:pos:R:3 comment="GGA-PBE TaMn2Co, optimized geometry" delta_e_f_ev_per_atom=-0.011 vol_a3_per_atom=12.98 magnetic_moment_mub_per_cell=0.8 de_polymorph_ev_per_fu=0.22 pbc="T T T"
Mn 0.000 0.000 0.000
Mn 0.813 2.157 1.307
Ta 3.118 2.169 0.000
Co 2.305 0.012 1.307